Entry 1:
Crystalline EuHo2Fe at its relaxed geometry, computed with PBE-GGA.

The calculation puts the energy relative to the elements at 0.071 eV/atom. As for the total magnetic moment: 8.79 μB/f.u. As for the energy relative to the lowest polymorph listed for this composition: 0.000 eV/atom. The crystal system is tetragonal.

Cell lengths 3.4355, 3.4355, 9.1517 Å; angles 90.00, 90.00, 90.00 degrees
With the nearest neighbours (Å) after each atom.
Element x y z (fractional)
1 Ho 0.0000 0.0000 0.8261  4 Fe 2.90, 1 Ho 3.18
2 Ho 0.0000 0.0000 0.1739  4 Fe 2.90, 1 Ho 3.18
3 Fe 0.5000 0.5000 0.0000  8 Ho 2.90
4 Eu 0.5000 0.5000 0.5000  4 Eu 3.44

---

Entry 2:
Crystalline YTaH at its relaxed geometry, computed with PBE-GGA.

As for the total magnetic moment: 0.00 μB/f.u. The crystal system is orthorhombic.

Cell lengths 3.3186, 3.1484, 10.9660 Å; angles 90.00, 90.00, 121.81 degrees
With the nearest neighbours (Å) after each atom.
Element x y z (fractional)
1 Y 0.2439 0.4879 0.1480  3 H 2.42-2.48
2 Y 0.2439 0.4879 0.8520  3 H 2.42-2.48
3 H 0.5790 0.1580 0.0000  6 Y 2.42-2.48
4 H 0.3141 0.6282 0.5000  6 Ta 2.19-2.31
5 Ta 0.6428 0.2856 0.3804  3 H 2.19-2.31
6 Ta 0.6428 0.2856 0.6196  3 H 2.19-2.31

---

Entry 3:
Crystalline CaTeIrN2 at its relaxed geometry, computed with PBE-GGA.

The value obtained for the uncorrected formation energy is 9.5 eV per formula unit. As for the total magnetic moment: 5.65 μB/f.u. As for the energy relative to the lowest polymorph listed for this composition: 1.543 eV/atom. The crystal system is tetragonal.

Cell lengths 4.2787, 4.2787, 6.4453 Å; angles 90.00, 90.00, 90.00 degrees
With the nearest neighbours (Å) after each atom.
Element x y z (fractional)
1 N 0.5000 0.0000 0.0000  2 Ca 2.14
2 N 0.0000 0.5000 0.0000  2 Ca 2.14
3 Te 0.0000 0.0000 0.5000  4 Ir 3.03, 2 Ca 3.22
4 Ca 0.0000 0.0000 0.0000  4 N 2.14
5 Ir 0.5000 0.5000 0.5000  4 Te 3.03

---

Entry 4:
Crystalline MgSiSn at its relaxed geometry, computed with PBE-GGA.

The value obtained for the uncorrected formation energy is 0.2 eV per formula unit. As for the total magnetic moment: 0.00 μB/f.u. As for the energy relative to the lowest polymorph listed for this composition: 0.044 eV/atom. The crystal system is monoclinic.

Cell lengths 4.2652, 3.5788, 18.7874 Å; angles 90.00, 103.61, 90.00 degrees
With the nearest neighbours (Å) after each atom.
Element x y z (fractional)
1 Mg 0.8110 0.5000 0.4130  1 Si 2.66
2 Mg 0.8110 0.0000 0.9130  1 Si 2.66
3 Mg 0.4187 0.5000 0.0216  6 Si 2.86-3.05
4 Mg 0.4187 0.0000 0.5216  6 Si 2.86-3.05
5 Si 0.9581 0.0000 0.0588  2 Si 2.32
6 Si 0.0357 0.0000 0.6397  2 Si 2.32
7 Si 0.0357 0.5000 0.1397  2 Si 2.32
8 Si 0.9581 0.5000 0.5588  2 Si 2.32
9 Sn 0.6366 0.5000 0.2360  2 Si 2.76-2.77
10 Sn 0.6366 0.0000 0.7360  2 Si 2.76-2.77
11 Sn 0.2375 0.5000 0.8427  5 Mg 3.06-3.27, 4 Sn 3.37-3.42
12 Sn 0.2375 0.0000 0.3427  5 Mg 3.06-3.27, 4 Sn 3.37-3.42

---

| no. | DOS at the Fermi energy (states/eV per cell) | VASP energy (eV per atom) | volume (Å³ per cell) |
| --- | --- | --- | --- |
| 1 | 5.64 | -6.90 | 108.0 |
| 2 | 4.10 | -7.01 | 97.4 |
| 3 | 5.48 | -4.22 | 118.0 |
| 4 | 3.79 | -3.61 | 278.7 |